## P
Entry from the Alexandria database: an optimized crystal structure of HoScGaGe (PBE).

Output
SG: F-43m

Geometry as POSCAR:
```
HoScGaGe
1.0
4.9093 0.0000 0.0000
2.4546 4.2516 0.0000
2.4546 1.4172 4.0084
Ge Sc Ho Ga
1 1 1 1
Direct
0.2500 0.2500 0.2500 Ge
0.5000 0.5000 0.5000 Sc
0.0000 0.0000 0.0000 Ho
0.7500 0.7500 0.7500 Ga
```



## Q
Entry from the Alexandria database: an optimized crystal structure of HoScGaGe (PBE).

Output
SG: Amm2

Geometry as POSCAR:
```
HoScGaGe
1.0
4.1835 0.0000 0.0000
0.0000 3.9120 0.0000
-2.0918 0.0000 5.2314
Ge Sc Ho Ga
1 1 1 1
Direct
0.5830 0.5000 0.1660 Ge
0.1375 0.0000 0.2750 Sc
0.8598 0.5000 0.7196 Ho
0.4197 0.0000 0.8394 Ga
```



Q: Which of them is the most stable? A: Q.



## P
Entry from the Alexandria database: an optimized crystal structure of Ga2Ge2I (PBE).

Output
SG: I4/mmm

Geometry as POSCAR:
```
Ga2Ge2I
1.0
4.7401 0.0000 0.0000
0.0000 4.7401 0.0000
2.3701 2.3701 5.1505
Ga I Ge
2 1 2
Direct
0.7500 0.2500 0.5000 Ga
0.2500 0.7500 0.5000 Ga
0.0000 0.0000 0.0000 I
0.3754 0.3754 0.2493 Ge
0.6246 0.6246 0.7507 Ge
```



## Q
Entry from the Alexandria database: an optimized crystal structure of Ga2Ge2I (PBE).

Output
SG: P4/mbm

Geometry as POSCAR:
```
Ga2Ge2I
1.0
8.0247 0.0000 0.0000
0.0000 8.0247 0.0000
0.0000 0.0000 3.6309
Ga Ge I
4 4 2
Direct
0.1767 0.6767 0.5000 Ga
0.8233 0.3233 0.5000 Ga
0.6767 0.8233 0.5000 Ga
0.3233 0.1767 0.5000 Ga
0.6210 0.1210 0.0000 Ge
0.3790 0.8790 0.0000 Ge
0.1210 0.3790 0.0000 Ge
0.8790 0.6210 0.0000 Ge
0.5000 0.5000 0.0000 I
0.0000 0.0000 0.0000 I
```



Q: Which of them is the most stable? A: P.